(1)
Density functional theory data (GGA-PBE) for an optimized crystal structure of Ba6GeP2Cl3.

Cell: 8.1759 8.1759 8.2338 Å, 99.37 99.37 120.80°
Fractional coordinates of all 12 atoms:
Ba 0.0836 0.4286 0.7755
Ba 0.2330 0.2330 0.2298
Ba 0.4286 0.0836 0.7755
Ba 0.5714 0.9164 0.2245
Ba 0.7670 0.7670 0.7702
Ba 0.9164 0.5714 0.2245
Ge 0.5000 0.5000 0.0000
P 0.1643 0.8357 0.0000
P 0.8357 0.1643 0.0000
Cl 0.0000 0.0000 0.5000
Cl 0.3298 0.6702 0.5000
Cl 0.6702 0.3298 0.5000

## Properties
As for the density of states at the Fermi level: 6.37 states/eV/cell. The value obtained for the formation energy without anion corrections is -142.5 kJ per mole of atoms. The final energy is -4.187 eV/atom. As for the volume: 446 Å³/cell.

(2)
Density functional theory data (GGA-PBE) for an optimized crystal structure of Ba8GeP3Cl4.

Cell: 9.4592 9.4592 9.4592 Å, 59.41 59.41 59.41°
Fractional coordinates of all 16 atoms:
Ba 0.2361 0.7455 0.7455
Ba 0.2401 0.2401 0.2401
Ba 0.2545 0.2545 0.7639
Ba 0.2545 0.7639 0.2545
Ba 0.7455 0.2361 0.7455
Ba 0.7455 0.7455 0.2361
Ba 0.7599 0.7599 0.7599
Ba 0.7639 0.2545 0.2545
Ge 0.5000 0.5000 0.5000
P 0.0000 0.0000 0.5000
P 0.0000 0.5000 0.0000
P 0.5000 0.0000 0.0000
Cl 0.0000 0.0000 0.0000
Cl 0.0000 0.5000 0.5000
Cl 0.5000 0.0000 0.5000
Cl 0.5000 0.5000 0.0000

## Properties
As for the density of states at the Fermi level: 7.18 states/eV/cell. The value obtained for the formation energy without anion corrections is -146.9 kJ per mole of atoms. The final energy is -4.248 eV/atom. As for the volume: 591 Å³/cell.